1.
## Tb4PmGa2 (GGA-PBE)

Data for a relaxed Tb4PmGa2 crystal.

The calculated density comes out at 7.15 g/cm3. Its volume is 30.5 A^3/atom. The calculation puts the total energy at -90.1 eV for the cell shown. For the size of the total moment, the calculation gives 0.000 μB/atom.

It has space group R-3m (No. 166, hexagonal axes), with a = 4.9480 Å, b = 4.9480 Å, c = 30.2521 Å, α = 90.00°, β = 90.00° and γ = 120.00°. Symmetry generates all atoms from Tb at (0.0000, 0.0000, 0.1024), Tb at (0.0000, 0.0000, 0.2978), Pm at (0.0000, 0.0000, 0.5000) and Ga at (0.0000, 0.0000, 0.3995).

2.
## TbPm4Ga (GGA-PBE)

Data for a relaxed TbPm4Ga crystal.

The calculated density comes out at 7.19 g/cm3. Its volume is 31.1 A^3/atom. The calculation puts the total energy at -55.2 eV for the cell shown. For the size of the total moment, the calculation gives 0.000 μB/atom.

It has space group Cm (No. 8), with a = 12.406 Å, b = 3.754 Å, c = 8.676 Å, α = 90.00°, β = 112.48° and γ = 90.00°. Symmetry generates all atoms from Tb at (0.000, 0.000, 0.000), Pm at (0.140, 0.500, 0.359), Pm at (0.163, 0.500, 0.796), Pm at (0.336, 0.000, 0.202), Pm at (0.360, 0.000, 0.641) and Ga at (0.499, 0.500, 0.499).

3.
## TbPm3Ga8 (GGA-PBE)

Data for a relaxed TbPm3Ga8 crystal.

The calculated density comes out at 7.75 g/cm3. Its volume is 20.6 A^3/atom. The calculation puts the total energy at -149.9 eV for the cell shown. For the size of the total moment, the calculation gives 0.000 μB/atom.

It has space group R3m (No. 160, hexagonal axes), with a = 5.5670 Å, b = 5.5670 Å, c = 27.5801 Å, α = 90.00°, β = 90.00° and γ = 120.00°. Symmetry generates all atoms from Tb at (0.0000, 0.0000, 0.0000), Pm at (0.0000, 0.0000, 0.3761), Pm at (0.0000, 0.0000, 0.5004), Pm at (0.0000, 0.0000, 0.8762), Ga at (0.0000, 0.0000, 0.1884), Ga at (0.0000, 0.0000, 0.6880), Ga at (0.9996, 0.4998, 0.4376) and Ga at (0.0003, 0.5001, 0.9389).

4.
## Tb3PmGa8 (GGA-PBE)

Data for a relaxed Tb3PmGa8 crystal.

The calculated density comes out at 8.12 g/cm3. Its volume is 20.1 A^3/atom. The calculation puts the total energy at -149.0 eV for the cell shown. For the size of the total moment, the calculation gives 0.000 μB/atom.

It has space group R3m (No. 160, hexagonal axes), with a = 5.5219 Å, b = 5.5219 Å, c = 27.4187 Å, α = 90.00°, β = 90.00° and γ = 120.00°. Symmetry generates all atoms from Tb at (0.0000, 0.0000, 0.0000), Tb at (0.0000, 0.0000, 0.1235), Tb at (0.0000, 0.0000, 0.4997), Pm at (0.0000, 0.0000, 0.6239), Ga at (0.0000, 0.0000, 0.3120), Ga at (0.0000, 0.0000, 0.8116), Ga at (0.0005, 0.5002, 0.0624) and Ga at (0.9997, 0.4998, 0.5610).

Look up the calculated density of the first one. 7.15 g/cm3